Record 1
DFT (GGA-PBE) results for an optimized crystal structure of SrCd12Hg6.

Summary:
- space-group type = R-3 (148)
- ΔE to the lowest computed polymorph (meV/atom) = 0.0

Cell: 8.0792 8.0792 8.0792 Å, 103.02 103.02 103.02°
Last column: nearest neighbours and their distance in Å.
Positions (direct):
Sr: 0.0000 0.0000 0.0000  6 Hg 3.23, 6 Cd 3.43
Cd: 0.5885 0.1891 0.5891  7 Cd 2.93-3.24, 1 Hg 3.19
Cd: 0.1891 0.5891 0.5885  7 Cd 2.93-3.24, 1 Hg 3.19
Cd: 0.5891 0.5885 0.1891  7 Cd 2.93-3.24, 1 Hg 3.19
Cd: 0.4115 0.8109 0.4109  7 Cd 2.93-3.24, 1 Hg 3.19
Cd: 0.8109 0.4109 0.4115  7 Cd 2.93-3.24, 1 Hg 3.19
Cd: 0.4109 0.4115 0.8109  7 Cd 2.93-3.24, 1 Hg 3.19
Cd: 0.2707 0.0002 0.7279  4 Hg 3.10-3.34, 6 Cd 3.12-3.43, 1 Sr 3.43
Cd: 0.2721 0.7293 0.9998  4 Hg 3.10-3.34, 6 Cd 3.12-3.43, 1 Sr 3.43
Cd: 0.9998 0.2721 0.7293  4 Hg 3.10-3.34, 6 Cd 3.12-3.43, 1 Sr 3.43
Cd: 0.7293 0.9998 0.2721  4 Hg 3.10-3.34, 6 Cd 3.12-3.43, 1 Sr 3.43
Cd: 0.7279 0.2707 0.0002  4 Hg 3.10-3.34, 6 Cd 3.12-3.43, 1 Sr 3.43
Cd: 0.0002 0.7279 0.2707  4 Hg 3.10-3.34, 6 Cd 3.12-3.43, 1 Sr 3.43
Hg: 0.1672 0.1688 0.4255  7 Cd 3.10-3.34, 1 Sr 3.23, 2 Hg 3.26
Hg: 0.8312 0.5745 0.8328  7 Cd 3.10-3.34, 1 Sr 3.23, 2 Hg 3.26
Hg: 0.5745 0.8328 0.8312  7 Cd 3.10-3.34, 1 Sr 3.23, 2 Hg 3.26
Hg: 0.8328 0.8312 0.5745  7 Cd 3.10-3.34, 1 Sr 3.23, 2 Hg 3.26
Hg: 0.1688 0.4255 0.1672  7 Cd 3.10-3.34, 1 Sr 3.23, 2 Hg 3.26
Hg: 0.4255 0.1672 0.1688  7 Cd 3.10-3.34, 1 Sr 3.23, 2 Hg 3.26

***

Record 2
DFT (GGA-PBE) results for an optimized crystal structure of ScGa6Ru5.

Summary:
- space-group type = Immm (71)
- energy (eV per atom) = -6.30

Cell: 4.3361 6.1933 7.5180 Å, 114.32 106.76 90.00°
Last column: nearest neighbours and their distance in Å.
Positions (direct):
Sc: 0.0000 0.0000 0.0000  8 Ga 2.77-2.83, 6 Ru 2.92-3.10
Ru: 0.3492 0.8492 0.6985  8 Ga 2.61-2.74, 2 Sc 2.92
Ru: 0.6683 0.6683 0.3366  8 Ga 2.58-2.61
Ru: 0.0000 0.5000 0.0000  8 Ga 2.57-2.72
Ru: 0.3317 0.3317 0.6634  8 Ga 2.58-2.61
Ru: 0.6508 0.1508 0.3015  8 Ga 2.61-2.74, 2 Sc 2.92
Ga: 0.1770 0.4422 0.3540  7 Ru 2.60-2.74, 1 Sc 2.83, 3 Ga 2.89-2.91
Ga: 0.1770 0.9117 0.3540  7 Ru 2.60-2.74, 1 Sc 2.83, 3 Ga 2.89-2.91
Ga: 0.5000 0.2787 0.0000  6 Ru 2.57-2.61, 1 Ga 2.74, 2 Sc 2.77
Ga: 0.5000 0.7213 0.0000  6 Ru 2.57-2.61, 1 Ga 2.74, 2 Sc 2.77
Ga: 0.8230 0.0883 0.6460  7 Ru 2.60-2.74, 1 Sc 2.83, 3 Ga 2.89-2.91
Ga: 0.8230 0.5578 0.6460  7 Ru 2.60-2.74, 1 Sc 2.83, 3 Ga 2.89-2.91

***

In μB/f.u., the spin magnetization values for the records above are, in order, 0.00, 0.00.
In states/eV/f.u., the DOS(E_F) values for the records above are, in order, 6.3, 4.8.